1.
Below is a relaxed NaReSeBr2 crystal, with properties calculated at the PBE-GGA level.

## Properties
SG = No. 123
ΔE_f (raw) = 5.21 eV/f.u.
energy above the lowest structure with this stoichiometry = 1160 meV/atom

Unit cell a=5.163 b=5.163 c=5.491 alpha=90.00 beta=90.00 gamma=90.00
Each line ends with the local moment (μB).
Positions (direct):
Br 0.500 0.000 0.000  -0.06
Br 0.000 0.500 0.000  -0.06
Se 0.000 0.000 0.500  -0.60
Na 0.000 0.000 0.000  0.00
Re 0.500 0.500 0.500  4.18



2.
Below is a relaxed Ac2Cu9Pd6 crystal, with properties calculated at the PBE-GGA level.

## Properties
SG = No. 191
ΔE_f = -0.20 eV per atom

Unit cell a=5.275 b=5.275 c=12.800 alpha=90.00 beta=90.00 gamma=120.00
Positions (direct):
Cu 0.000 0.500 0.161
Pd 0.667 0.333 0.000
Ac 0.000 0.000 0.684
Cu 0.500 0.500 0.161
Cu 0.500 0.000 0.839
Cu 0.000 0.500 0.500
Pd 0.333 0.667 0.669
Cu 0.500 0.000 0.161
Cu 0.500 0.000 0.500
Pd 0.333 0.667 0.331
Pd 0.667 0.333 0.331
Cu 0.500 0.500 0.500
Cu 0.500 0.500 0.839
Pd 0.667 0.333 0.669
Cu 0.000 0.500 0.839
Pd 0.333 0.667 0.000
Ac 0.000 0.000 0.316



3.
Below is a relaxed PrNpPdS4 crystal, with properties calculated at the PBE-GGA level.

## Properties
SG = No. 11
ΔE_f (raw) = -8.61 eV/f.u.

Unit cell a=6.918 b=5.537 c=8.136 alpha=90.00 beta=110.43 gamma=90.00
Each line ends with the local moment (μB).
Positions (direct):
S 0.443 0.750 0.111  -0.05
S 0.043 0.520 0.734  -0.06
S 0.043 0.980 0.734  -0.06
Pr 0.266 0.250 0.057  0.01
S 0.957 0.020 0.266  -0.06
S 0.569 0.250 0.406  -0.10
S 0.957 0.480 0.266  -0.06
Pr 0.734 0.750 0.943  0.01
Np 0.734 0.750 0.442  3.49
Pd 0.224 0.750 0.275  -0.12
Pd 0.776 0.250 0.725  -0.12
S 0.557 0.250 0.889  -0.05
S 0.431 0.750 0.594  -0.10
Np 0.266 0.250 0.558  3.49



4.
Below is a relaxed RbNb3As crystal, with properties calculated at the PBE-GGA level.

## Properties
SG = No. 221
ΔE_f = 1.16 eV per atom
energy above the lowest structure with this stoichiometry = 0 meV/atom

Unit cell a=4.986 b=4.986 c=4.986 alpha=90.00 beta=90.00 gamma=90.00
Positions (direct):
Rb 0.500 0.500 0.500
As 0.000 0.000 0.000
Nb 0.000 0.500 0.000
Nb 0.000 0.000 0.500
Nb 0.500 0.000 0.000



5.
Below is a relaxed Ac2YTl crystal, with properties calculated at the PBE-GGA level.

## Properties
SG = No. 166
ΔE_f = 0.12 eV per atom
energy above the lowest structure with this stoichiometry = 228 meV/atom

Unit cell a=3.815 b=3.815 c=13.115 alpha=81.64 beta=81.64 gamma=60.00
Positions (direct):
Y 0.500 0.500 0.500
Ac 0.910 0.910 0.269
Tl 0.000 0.000 0.000
Ac 0.090 0.090 0.731



6.
Below is a relaxed LaCrBCl2 crystal, with properties calculated at the PBE-GGA level.

## Properties
SG = No. 123
ΔE_f (raw) = 1.66 eV/f.u.

Unit cell a=4.526 b=4.526 c=6.376 alpha=90.00 beta=90.00 gamma=90.00
Each line ends with the local moment (μB).
Positions (direct):
Cl 0.000 0.500 0.000  -0.01
La 0.000 0.000 0.500  0.23
Cl 0.500 0.000 0.000  -0.01
Cr 0.000 0.000 0.000  -3.23
B 0.500 0.500 0.500  0.35



7.
Below is a relaxed CsHg2Se2 crystal, with properties calculated at the PBE-GGA level.

## Properties
SG = No. 127
ΔE_f (raw) = -1.88 eV/f.u.
energy above the lowest structure with this stoichiometry = 82 meV/atom

Unit cell a=9.477 b=9.477 c=4.349 alpha=90.00 beta=90.00 gamma=90.00
Positions (direct):
Se 0.712 0.212 0.500
Hg 0.103 0.397 0.000
Cs 0.000 0.000 0.000
Hg 0.397 0.897 0.000
Se 0.288 0.788 0.500
Hg 0.603 0.103 0.000
Hg 0.897 0.603 0.000
Se 0.788 0.712 0.500
Cs 0.500 0.500 0.000
Se 0.212 0.288 0.500



8.
Below is a relaxed SrMgHg2W crystal, with properties calculated at the PBE-GGA level.

## Properties
SG = No. 123
ΔE_f = 1.30 eV per atom

Unit cell a=5.191 b=6.069 c=5.191 alpha=90.00 beta=90.00 gamma=90.00
Each line ends with the local moment (μB).
Positions (direct):
Hg 0.500 0.000 0.000  0.01
Mg 0.000 0.000 0.000  -0.01
Hg 0.000 0.000 0.500  -0.01
W 0.500 0.500 0.500  3.19
Sr 0.000 0.500 0.000  0.03



9.
Below is a relaxed CSe2SI crystal, with properties calculated at the PBE-GGA level.

## Properties
SG = No. 123
ΔE_f (raw) = 10.41 eV/f.u.

Unit cell a=5.500 b=4.258 c=5.500 alpha=90.00 beta=90.00 gamma=90.00
Each line ends with the local moment (μB).
Positions (direct):
Se 0.500 0.000 0.000  0.08
S 0.500 0.500 0.500  0.25
Se 0.000 0.000 0.500  0.12
C 0.000 0.500 0.000  0.68
I 0.000 0.000 0.000  -0.03



10.
Below is a relaxed Tb2Ga2Hg crystal, with properties calculated at the PBE-GGA level.

## Properties
SG = No. 12
ΔE_f = -0.56 eV per atom

Unit cell a=4.493 b=5.938 c=9.698 alpha=88.49 beta=76.61 gamma=67.77
Each line ends with the local moment (μB).
Positions (direct):
Tb 0.084 0.735 0.097  0.09
Tb 0.318 0.687 0.678  0.05
Hg 0.624 0.096 0.656  0.00
Ga 0.640 0.827 0.893  0.00
Hg 0.376 0.904 0.344  0.00
Tb 0.682 0.313 0.322  0.05
Ga 0.063 0.307 0.568  0.00
Ga 0.937 0.693 0.432  0.00
Tb 0.916 0.265 0.903  0.09
Ga 0.360 0.173 0.107  0.00



11.
Below is a relaxed Na2Cd4Ag3 crystal, with properties calculated at the PBE-GGA level.

## Properties
SG = No. 69
ΔE_f = -0.09 eV per atom
energy above the lowest structure with this stoichiometry = 0 meV/atom

Unit cell a=5.614 b=5.732 c=7.627 alpha=79.62 beta=68.41 gamma=60.68
Positions (direct):
Ag 0.500 0.500 0.000
Cd 0.019 0.310 0.652
Ag 0.000 0.500 0.000
Cd 0.981 0.690 0.348
Ag 0.000 0.000 0.000
Cd 0.329 0.690 0.652
Na 0.381 0.000 0.238
Cd 0.671 0.310 0.348
Na 0.619 0.000 0.762



12.
Below is a relaxed SrAcTb2 crystal, with properties calculated at the PBE-GGA level.

## Properties
SG = No. 123
ΔE_f = 0.18 eV per atom
energy above the lowest structure with this stoichiometry = 52 meV/atom

Unit cell a=5.363 b=5.387 c=5.387 alpha=90.00 beta=90.00 gamma=90.00
Positions (direct):
Sr 0.500 0.500 0.500
Tb 0.000 0.000 0.500
Tb 0.000 0.500 0.000
Ac 0.500 0.000 0.000



13.
Below is a relaxed TbSm2Ga2 crystal, with properties calculated at the PBE-GGA level.

## Properties
SG = No. 127
ΔE_f = -0.51 eV per atom
energy above the lowest structure with this stoichiometry = 0 meV/atom

Unit cell a=4.480 b=7.705 c=7.705 alpha=90.00 beta=90.00 gamma=90.00
Positions (direct):
Ga 0.000 0.619 0.119
Sm 0.500 0.174 0.674
Sm 0.500 0.326 0.174
Sm 0.500 0.826 0.326
Sm 0.500 0.674 0.826
Ga 0.000 0.881 0.619
Tb 0.000 0.500 0.500
Ga 0.000 0.381 0.881
Tb 0.000 0.000 0.000
Ga 0.000 0.119 0.381



14.
Below is a relaxed CaNiH3 crystal, with properties calculated at the PBE-GGA level.

## Properties
SG = No. 221
electronic total energy = -14.62 eV for the cell shown

Unit cell a=4.038 b=4.038 c=4.038 alpha=90.00 beta=90.00 gamma=90.00
Each line ends with the local moment (μB).
Positions (direct):
Ni 0.500 0.500 0.500  0.93
H 0.000 0.000 0.500  0.04
H 0.000 0.500 0.000  0.02
Ca 0.000 0.000 0.000  0.01
H 0.500 0.000 0.000  0.02



15.
Below is a relaxed AcTbGdHo crystal, with properties calculated at the PBE-GGA level.

## Properties
SG = No. 216
ΔE_f = 0.12 eV per atom

Unit cell a=5.838 b=5.838 c=5.838 alpha=60.00 beta=60.00 gamma=60.00
Each line ends with the local moment (μB).
Positions (direct):
Tb 0.500 0.500 0.500  0.11
Gd 0.750 0.750 0.750  7.26
Ac 0.250 0.250 0.250  0.01
Ho 0.000 0.000 0.000  0.10



16.
Below is a relaxed Na2NpGe3Pt4 crystal, with properties calculated at the PBE-GGA level.

## Properties
SG = No. 115
ΔE_f = -0.42 eV per atom

Unit cell a=4.395 b=4.395 c=10.677 alpha=90.00 beta=90.00 gamma=90.00
Each line ends with the local moment (μB).
Positions (direct):
Pt 0.500 0.000 0.654  -0.04
Ge 0.000 0.000 0.500  -0.02
Pt 0.500 0.500 0.000  -0.02
Pt 0.000 0.000 0.000  -0.03
Ge 0.500 0.000 0.883  -0.01
Pt 0.000 0.500 0.346  -0.04
Na 0.000 0.500 0.774  0.01
Np 0.500 0.500 0.500  3.65
Na 0.500 0.000 0.226  0.01
Ge 0.000 0.500 0.117  -0.01



17.
Below is a relaxed YCd2Re crystal, with properties calculated at the PBE-GGA level.

## Properties
SG = No. 123
ΔE_f = 0.31 eV per atom
energy above the lowest structure with this stoichiometry = 66 meV/atom

Unit cell a=4.232 b=4.232 c=4.630 alpha=90.00 beta=90.00 gamma=90.00
Each line ends with the local moment (μB).
Positions (direct):
Cd 0.500 0.500 0.000  0.00
Cd 0.000 0.000 0.000  0.00
Y 0.000 0.500 0.500  -0.01
Re 0.500 0.000 0.500  0.32



18.
Below is a relaxed La2TlCl crystal, with properties calculated at the PBE-GGA level.

## Properties
SG = No. 10
ΔE_f (raw) = -3.78 eV/f.u.
energy above the lowest structure with this stoichiometry = 4 meV/atom

Unit cell a=3.883 b=3.818 c=8.512 alpha=89.91 beta=90.00 gamma=90.00
Positions (direct):
Tl 0.500 0.250 0.250
Cl 0.500 0.750 0.750
La 0.000 0.751 0.010
La 0.000 0.749 0.490



19.
Below is a relaxed PuCdPdRh crystal, with properties calculated at the PBE-GGA level.

## Properties
SG = No. 216
ΔE_f = -0.36 eV per atom
energy above the lowest structure with this stoichiometry = 0 meV/atom

Unit cell a=4.766 b=4.766 c=4.766 alpha=60.00 beta=60.00 gamma=60.00
Each line ends with the local moment (μB).
Positions (direct):
Pd 0.500 0.500 0.500  -0.06
Rh 0.000 0.000 0.000  -0.23
Pu 0.750 0.750 0.750  4.99
Cd 0.250 0.250 0.250  -0.01



20.
Below is a relaxed BaLi12Ag6 crystal, with properties calculated at the PBE-GGA level.

## Properties
SG = No. 166
ΔE_f = -0.10 eV per atom

Unit cell a=7.583 b=7.583 c=7.583 alpha=103.45 beta=103.45 gamma=103.45
Positions (direct):
Li 0.565 0.565 0.840
Li 0.500 0.884 0.116
Li 0.500 0.116 0.884
Li 0.116 0.500 0.884
Li 0.884 0.500 0.116
Ag 0.257 0.257 0.705
Li 0.160 0.435 0.435
Ag 0.257 0.705 0.257
Li 0.565 0.840 0.565
Ag 0.743 0.743 0.295
Ag 0.295 0.743 0.743
Ag 0.705 0.257 0.257
Li 0.116 0.884 0.500
Ba 0.000 0.000 0.000
Li 0.840 0.565 0.565
Li 0.435 0.160 0.435
Li 0.884 0.116 0.500
Li 0.435 0.435 0.160
Ag 0.743 0.295 0.743